[1]
This record from the Alexandria database describes crystalline U2Ni15Ir2 at its relaxed geometry. The functional is GGA-PBE.

Results
Volume: 12.7 A^3/atom
E_tot: -389.88 eV/cell
Formation energy: -0.1547 eV/atom
M_tot: 3.393 μB per formula unit

Cell: 8.2966 8.2966 12.1610 Å, 90.00 90.00 120.00°
Space group R-3m (No. 166, hexagonal axes)
Symmetry-distinct sites (fractional):
U 0.0000 0.0000 0.1669 x6
Ni 0.0000 0.3012 0.5000 x18
Ni 0.0000 0.5000 0.0000 x9
Ni 0.0095 0.5047 0.6517 x18
Ir 0.0000 0.0000 0.3916 x6



[2]
This record from the Alexandria database describes crystalline UNi4Ir at its relaxed geometry. The functional is GGA-PBE.

Results
Volume: 13.3 A^3/atom
E_tot: -180.47 eV/cell
Formation energy: -0.3072 eV/atom
M_tot: 0.436 μB per formula unit

Cell: 6.839 6.839 6.839 Å, 90.00 90.00 90.00°
Space group F-43m (No. 216)
Symmetry-distinct sites (fractional):
U 0.000 0.000 0.000 x4
Ni 0.124 0.124 0.624 x16
Ir 0.250 0.250 0.250 x4



[3]
This record from the Alexandria database describes crystalline UNi2Ir2 at its relaxed geometry. The functional is GGA-PBE.

Results
Volume: 15.0 A^3/atom
E_tot: -84.15 eV/cell
Formation energy: -0.3003 eV/atom
M_tot: 0.000 μB per formula unit

Cell: 3.982 4.725 8.778 Å, 91.39 90.05 114.87°
Space group P-1 (No. 2)
Symmetry-distinct sites (fractional):
U 0.103 0.205 0.299 x2
Ni 0.199 0.399 0.605 x2
Ni 0.295 0.590 0.905 x2
Ir 0.000 0.000 0.000 x1
Ir 0.397 0.794 0.191 x2
Ir 0.500 0.000 0.500 x1